a | A geometry-optimized UFe2Ge structure, computed with GGA-PBE.

Cell: 8.591 8.591 8.591 Å, 19.15 19.15 19.15°
Atoms (fractional coordinates):
U 0.000 0.000 0.000
Fe 0.240 0.240 0.240
Fe 0.760 0.760 0.760
Ge 0.500 0.500 0.500

b | A geometry-optimized UFe2Ge structure, computed with GGA-PBE.

Cell: 4.125 4.125 3.447 Å, 90.00 90.00 90.00°
Atoms (fractional coordinates):
U 0.000 0.000 0.000
Fe 0.000 0.500 0.500
Fe 0.500 0.000 0.500
Ge 0.500 0.500 0.000

Short version: b is the most stable of them.

a | A geometry-optimized VFe4Ge2 structure, computed with GGA-PBE.

Cell: 6.091 5.064 4.830 Å, 75.96 53.76 50.28°
Atoms (fractional coordinates):
V 0.000 0.000 0.000
Fe 0.250 0.250 0.250
Fe 0.294 0.706 0.294
Fe 0.706 0.294 0.706
Fe 0.750 0.750 0.750
Ge 0.314 0.314 0.686
Ge 0.686 0.686 0.314

b | A geometry-optimized VFe4Ge2 structure, computed with GGA-PBE.

Cell: 6.964 6.964 6.964 Å, 145.53 145.53 49.54°
Atoms (fractional coordinates):
V 0.000 0.000 0.000
Fe 0.000 0.500 0.500
Fe 0.187 0.187 0.000
Fe 0.500 0.000 0.500
Fe 0.813 0.813 0.000
Ge 0.376 0.376 0.000
Ge 0.624 0.624 0.000

Short version: a is the most stable of them.

a | A geometry-optimized FeGeW3 structure, computed with GGA-PBE.

Cell: 4.447 4.447 4.447 Å, 90.00 90.00 90.00°
Atoms (fractional coordinates):
Fe 0.000 0.000 0.000
Ge 0.500 0.500 0.500
W 0.000 0.000 0.500
W 0.000 0.500 0.000
W 0.500 0.000 0.000

b | A geometry-optimized FeGeW3 structure, computed with GGA-PBE.

Cell: 4.548 4.548 4.548 Å, 90.00 90.00 90.00°
Atoms (fractional coordinates):
Fe 0.000 0.000 0.000
Ge 0.500 0.500 0.500
W 0.000 0.500 0.500
W 0.500 0.000 0.500
W 0.500 0.500 0.000

Short version: a is the most stable of them.

a | A geometry-optimized FeGe2W structure, computed with GGA-PBE.

Cell: 9.220 9.220 9.220 Å, 18.11 18.11 18.11°
Atoms (fractional coordinates):
Fe 0.000 0.000 0.000
Ge 0.089 0.089 0.089
Ge 0.911 0.911 0.911
W 0.500 0.500 0.500

b | A geometry-optimized FeGe2W structure, computed with GGA-PBE.

Cell: 4.336 4.336 4.336 Å, 60.00 60.00 60.00°
Atoms (fractional coordinates):
Fe 0.000 0.000 0.000
Ge 0.250 0.250 0.250
Ge 0.750 0.750 0.750
W 0.500 0.500 0.500

Short version: b is the most stable of them.

a | A geometry-optimized YFe3Ge3 structure, computed with GGA-PBE.

Cell: 6.465 6.465 6.465 Å, 90.00 90.00 90.00°
Atoms (fractional coordinates):
Y 0.000 0.000 0.000
Y 0.500 0.500 0.500
Fe 0.000 0.250 0.500
Fe 0.000 0.750 0.500
Fe 0.250 0.500 0.000
Fe 0.500 0.000 0.250
Fe 0.500 0.000 0.750
Fe 0.750 0.500 0.000
Ge 0.000 0.500 0.250
Ge 0.000 0.500 0.750
Ge 0.250 0.000 0.500
Ge 0.500 0.250 0.000
Ge 0.500 0.750 0.000
Ge 0.750 0.000 0.500

b | A geometry-optimized YFe3Ge3 structure, computed with GGA-PBE.

Cell: 8.181 8.181 4.046 Å, 90.00 90.00 120.00°
Atoms (fractional coordinates):
Y 0.333 0.667 0.250
Y 0.667 0.333 0.750
Fe 0.057 0.857 0.250
Fe 0.143 0.199 0.250
Fe 0.199 0.057 0.750
Fe 0.801 0.943 0.250
Fe 0.857 0.801 0.750
Fe 0.943 0.143 0.750
Ge 0.096 0.713 0.750
Ge 0.287 0.383 0.750
Ge 0.383 0.096 0.250
Ge 0.617 0.904 0.750
Ge 0.713 0.617 0.250
Ge 0.904 0.287 0.250

Short version: b is the most stable of them.

a | A geometry-optimized Y2Fe3Ge4 structure, computed with GGA-PBE.

Cell: 7.832 7.832 7.345 Å, 90.00 90.00 139.15°
Atoms (fractional coordinates):
Y 0.111 0.889 0.905
Y 0.389 0.611 0.405
Y 0.611 0.389 0.595
Y 0.889 0.111 0.095
Fe 0.000 0.000 0.500
Fe 0.027 0.473 0.750
Fe 0.473 0.027 0.250
Fe 0.500 0.500 0.000
Fe 0.527 0.973 0.750
Fe 0.973 0.527 0.250
Ge 0.185 0.815 0.527
Ge 0.193 0.307 0.750
Ge 0.307 0.193 0.250
Ge 0.315 0.685 0.027
Ge 0.685 0.315 0.973
Ge 0.693 0.807 0.750
Ge 0.807 0.693 0.250
Ge 0.815 0.185 0.473

b | A geometry-optimized Y2Fe3Ge4 structure, computed with GGA-PBE.

Cell: 7.743 6.712 5.370 Å, 78.86 58.26 42.88°
Atoms (fractional coordinates):
Y 0.137 0.137 0.863
Y 0.863 0.863 0.137
Fe 0.000 0.000 0.500
Fe 0.500 0.500 0.000
Fe 0.500 0.500 0.500
Ge 0.174 0.513 0.487
Ge 0.487 0.826 0.174
Ge 0.513 0.174 0.826
Ge 0.826 0.487 0.513

Short version: a is the most stable of them.

a | A geometry-optimized Zn2FeGe2 structure, computed with GGA-PBE.

Cell: 8.333 8.333 8.333 Å, 157.14 157.14 32.56°
Atoms (fractional coordinates):
Zn 0.250 0.750 0.500
Zn 0.750 0.250 0.500
Fe 0.000 0.000 0.000
Ge 0.417 0.417 0.000
Ge 0.583 0.583 0.000

b | A geometry-optimized Zn2FeGe2 structure, computed with GGA-PBE.

Cell: 6.379 6.379 3.922 Å, 90.00 90.00 90.00°
Atoms (fractional coordinates):
Zn 0.162 0.338 0.000
Zn 0.338 0.838 0.000
Zn 0.662 0.162 0.000
Zn 0.838 0.662 0.000
Fe 0.000 0.000 0.500
Fe 0.500 0.500 0.500
Ge 0.150 0.650 0.500
Ge 0.350 0.150 0.500
Ge 0.650 0.850 0.500
Ge 0.850 0.350 0.500

Short version: b is the most stable of them.

a | A geometry-optimized Zn3FeGe structure, computed with GGA-PBE.

Cell: 4.612 4.612 4.612 Å, 90.00 90.00 90.00°
Atoms (fractional coordinates):
Zn 0.000 0.000 0.500
Zn 0.000 0.500 0.000
Zn 0.500 0.000 0.000
Fe 0.000 0.000 0.000
Ge 0.500 0.500 0.500

b | A geometry-optimized Zn3FeGe structure, computed with GGA-PBE.

Cell: 4.741 4.741 4.741 Å, 90.00 90.00 90.00°
Atoms (fractional coordinates):
Zn 0.000 0.000 0.500
Zn 0.000 0.500 0.000
Zn 0.500 0.000 0.000
Fe 0.500 0.500 0.500
Ge 0.000 0.000 0.000

Short version: a is the most stable of them.